[1]
# NaSrSeCl2 PBE optimized geometry
# D(E_F)   0.00 states/eV per atom
# Uncorrected formation energy   -26.2 kcal/mol of atoms
# Space-group type   P4/mmm, No. 123
data_NaSrSeCl2
_chemical_formula_sum 'Na1 Sr1 Se1 Cl2'
_symmetry_space_group_name_H-M 'P 1'
_symmetry_Int_Tables_number 1
_symmetry_space_group_name_Hall 'P 1'
_cell_length_a 5.421
_cell_length_b 5.421
_cell_length_c 13.365
_cell_angle_alpha 90.00
_cell_angle_beta 90.00
_cell_angle_gamma 90.00
loop_
_atom_site_label
_atom_site_type_symbol
_atom_site_fract_x
_atom_site_fract_y
_atom_site_fract_z
Na1 Na 0.000 0.000 0.000
Sr1 Sr 0.000 0.000 0.500
Se1 Se 0.500 0.500 0.000
Cl1 Cl 0.000 0.500 0.500
Cl2 Cl 0.500 0.000 0.500

[2]
# MgZrSi2 PBE optimized geometry
# D(E_F)   0.55 states/eV per atom
# Uncorrected formation energy   -2.3 kcal/mol of atoms
# Space-group type   P4mm, No. 99
data_MgZrSi2
_chemical_formula_sum 'Mg1 Zr1 Si2'
_symmetry_space_group_name_H-M 'P 1'
_symmetry_Int_Tables_number 1
_symmetry_space_group_name_Hall 'P 1'
_cell_length_a 3.299
_cell_length_b 3.299
_cell_length_c 6.684
_cell_angle_alpha 90.00
_cell_angle_beta 90.00
_cell_angle_gamma 90.00
loop_
_atom_site_label
_atom_site_type_symbol
_atom_site_fract_x
_atom_site_fract_y
_atom_site_fract_z
Mg1 Mg 0.000 0.000 0.000
Zr1 Zr 0.500 0.500 0.662
Si1 Si 0.000 0.000 0.415
Si2 Si 0.500 0.500 0.252